# 1
{"formula": "NaZrSi3", "functional": "PBE", "state": "relaxed", "formation_energy_uncorrected_mev_per_atom": 1261.8, "vol_a3_per_atom": 20.87, "de_polymorph_mev_per_atom": 803, "crystal_system": "cubic", "cell": [[4.708, 0.000, 0.000], [0.000, 4.708, 0.000], [0.000, 0.000, 4.708]], "species": ["Na", "Zr", "Si", "Si", "Si"], "frac_coords": [[0.000, 0.000, 0.000], [0.500, 0.500, 0.500], [0.000, 0.000, 0.500], [0.000, 0.500, 0.000], [0.500, 0.000, 0.000]]}

***

# 2
{"formula": "Na2ZrSi", "functional": "PBE", "state": "relaxed", "formation_energy_uncorrected_mev_per_atom": 576.8, "vol_a3_per_atom": 25.27, "crystal_system": "tetragonal", "cell": [[-4.306, 4.306, 2.726], [4.306, -4.306, 2.726], [4.306, 4.306, -2.726]], "species": ["Na", "Na", "Na", "Na", "Zr", "Zr", "Si", "Si"], "frac_coords": [[0.078, 0.125, 0.453], [0.375, 0.922, 0.047], [0.672, 0.625, 0.547], [0.875, 0.328, 0.953], [0.250, 0.750, 0.500], [0.500, 0.500, 0.000], [0.000, 0.000, 0.000], [0.750, 0.250, 0.500]]}

***

# 3
{"formula": "NaZrSi3", "functional": "PBE", "state": "relaxed", "formation_energy_uncorrected_mev_per_atom": 458.3, "vol_a3_per_atom": 26.98, "de_polymorph_mev_per_atom": 0, "crystal_system": "cubic", "cell": [[5.129, 0.000, 0.000], [0.000, 5.129, 0.000], [0.000, 0.000, 5.129]], "species": ["Na", "Zr", "Si", "Si", "Si"], "frac_coords": [[0.000, 0.000, 0.000], [0.500, 0.500, 0.500], [0.000, 0.500, 0.500], [0.500, 0.000, 0.500], [0.500, 0.500, 0.000]]}

***

# 4
{"formula": "Na2ZrSi2", "functional": "PBE", "state": "relaxed", "formation_energy_uncorrected_mev_per_atom": 168.3, "vol_a3_per_atom": 23.29, "crystal_system": "tetragonal", "cell": [[6.943, 0.000, 0.000], [0.000, 6.943, 0.000], [0.000, 0.000, 4.832]], "species": ["Na", "Na", "Na", "Na", "Zr", "Zr", "Si", "Si", "Si", "Si"], "frac_coords": [[0.174, 0.326, 0.000], [0.326, 0.826, 0.000], [0.674, 0.174, 0.000], [0.826, 0.674, 0.000], [0.000, 0.000, 0.500], [0.500, 0.500, 0.500], [0.121, 0.621, 0.500], [0.379, 0.121, 0.500], [0.621, 0.879, 0.500], [0.879, 0.379, 0.500]]}

***

# 5
{"formula": "NaSm4", "functional": "PBE", "state": "relaxed", "vol_a3_per_atom": 36.21, "formation_enthalpy_0k_ev_per_atom": 0.72, "crystal_system": "cubic", "cell": [[5.657, 0.000, 0.000], [0.000, 5.657, 0.000], [0.000, 0.000, 5.657]], "species": ["Na", "Sm", "Sm", "Sm", "Sm"], "frac_coords": [[0.000, 0.000, 0.000], [0.000, 0.000, 0.500], [0.000, 0.500, 0.000], [0.500, 0.000, 0.000], [0.500, 0.500, 0.500]]}

***

# 6
{"formula": "NaSm5", "functional": "PBE", "state": "relaxed", "vol_a3_per_atom": 33.56, "formation_enthalpy_0k_ev_per_atom": 0.16, "crystal_system": "orthorhombic", "cell": [[2.935, -9.023, 0.000], [2.935, 9.023, 0.000], [0.000, 0.000, 3.801]], "species": ["Na", "Sm", "Sm", "Sm", "Sm", "Sm"], "frac_coords": [[0.000, 0.000, 0.000], [0.152, 0.848, 0.500], [0.319, 0.681, 0.000], [0.500, 0.500, 0.500], [0.681, 0.319, 0.000], [0.848, 0.152, 0.500]]}

***

# 7
{"formula": "NaSm3", "functional": "PBE", "state": "relaxed", "vol_a3_per_atom": 33.57, "de_polymorph_mev_per_atom": 17, "formation_enthalpy_0k_ev_per_atom": 0.20, "crystal_system": "orthorhombic", "cell": [[3.603, 0.000, 0.000], [0.000, 5.938, 0.000], [0.000, 0.000, 6.276]], "species": ["Na", "Sm", "Sm", "Sm"], "frac_coords": [[0.000, 0.000, 0.000], [0.000, 0.500, 0.647], [0.500, 0.000, 0.506], [0.500, 0.500, 0.161]]}

***

# 8
{"formula": "Na2Sm", "functional": "PBE", "state": "relaxed", "vol_a3_per_atom": 33.08, "de_polymorph_mev_per_atom": 162, "formation_enthalpy_0k_ev_per_atom": 0.30, "crystal_system": "cubic", "cell": [[0.000, 4.630, 4.630], [4.630, 0.000, 4.630], [4.630, 4.630, 0.000]], "species": ["Na", "Na", "Na", "Na", "Sm", "Sm"], "frac_coords": [[0.000, 0.000, 0.000], [0.000, 0.000, 0.500], [0.000, 0.500, 0.000], [0.500, 0.000, 0.000], [0.375, 0.375, 0.375], [0.625, 0.625, 0.625]]}

***

# 9
{"formula": "Na2Sm", "functional": "PBE", "state": "relaxed", "vol_a3_per_atom": 34.52, "de_polymorph_mev_per_atom": 0, "formation_enthalpy_0k_ev_per_atom": 0.14, "crystal_system": "monoclinic", "cell": [[3.079, -1.775, 0.000], [3.079, 1.775, 0.000], [-2.096, 0.000, 9.478]], "species": ["Na", "Na", "Sm"], "frac_coords": [[0.000, 0.000, 0.000], [0.560, 0.560, 0.653], [0.779, 0.779, 0.326]]}

***

# 10
{"formula": "NaSm3", "functional": "PBE", "state": "relaxed", "vol_a3_per_atom": 33.51, "de_polymorph_mev_per_atom": 0, "formation_enthalpy_0k_ev_per_atom": 0.19, "crystal_system": "orthorhombic", "cell": [[-1.842, 5.897, 3.085], [1.842, -5.897, 3.085], [1.842, 5.897, -3.085]], "species": ["Na", "Sm", "Sm", "Sm"], "frac_coords": [[0.000, 0.000, 0.000], [0.120, 0.371, 0.749], [0.491, 0.991, 0.500], [0.623, 0.371, 0.251]]}

***

# 11
{"formula": "NaSmSn4", "functional": "PBE", "state": "relaxed", "vol_a3_per_atom": 28.34, "formation_enthalpy_0k_ev_per_atom": -0.27, "crystal_system": "cubic", "cell": [[0.000, 4.397, 4.397], [4.397, 0.000, 4.397], [4.397, 4.397, 0.000]], "species": ["Na", "Sm", "Sn", "Sn", "Sn", "Sn"], "frac_coords": [[0.000, 0.000, 0.000], [0.750, 0.750, 0.750], [0.375, 0.375, 0.375], [0.375, 0.375, 0.874], [0.375, 0.874, 0.375], [0.874, 0.375, 0.375]]}

***

# 12
{"formula": "NaSmSn", "functional": "PBE", "state": "relaxed", "vol_a3_per_atom": 30.23, "formation_enthalpy_0k_ev_per_atom": -0.21, "crystal_system": "tetragonal", "cell": [[-1.747, 1.747, 7.425], [1.747, -1.747, 7.425], [1.747, 1.747, -7.425]], "species": ["Na", "Sm", "Sn"], "frac_coords": [[0.000, 0.000, 0.000], [0.706, 0.706, 0.000], [0.349, 0.349, 0.000]]}

***

# 13
{"formula": "NaSm2Sn9", "functional": "PBE", "state": "relaxed", "vol_a3_per_atom": 26.73, "formation_enthalpy_0k_ev_per_atom": -0.36, "crystal_system": "tetragonal", "cell": [[4.706, 0.000, 0.000], [0.000, 4.706, 0.000], [0.000, 0.000, 14.483]], "species": ["Na", "Sm", "Sm", "Sn", "Sn", "Sn", "Sn", "Sn", "Sn", "Sn", "Sn", "Sn"], "frac_coords": [[0.000, 0.000, 0.000], [0.000, 0.000, 0.338], [0.000, 0.000, 0.662], [0.000, 0.500, 0.165], [0.000, 0.500, 0.500], [0.000, 0.500, 0.835], [0.500, 0.000, 0.165], [0.500, 0.000, 0.500], [0.500, 0.000, 0.835], [0.500, 0.500, 0.000], [0.500, 0.500, 0.330], [0.500, 0.500, 0.670]]}

***

# 14
{"formula": "NaSm5Sn3", "functional": "PBE", "state": "relaxed", "vol_a3_per_atom": 28.90, "formation_enthalpy_0k_ev_per_atom": -0.57, "crystal_system": "hexagonal", "cell": [[9.558, 0.000, 0.000], [-4.779, 8.277, 0.000], [0.000, 0.000, 6.576]], "species": ["Na", "Na", "Sm", "Sm", "Sm", "Sm", "Sm", "Sm", "Sm", "Sm", "Sm", "Sm", "Sn", "Sn", "Sn", "Sn", "Sn", "Sn"], "frac_coords": [[0.000, 0.000, 0.000], [0.000, 0.000, 0.500], [0.000, 0.316, 0.250], [0.000, 0.684, 0.750], [0.316, 0.000, 0.250], [0.316, 0.316, 0.750], [0.333, 0.667, 0.000], [0.333, 0.667, 0.500], [0.667, 0.333, 0.000], [0.667, 0.333, 0.500], [0.684, 0.000, 0.750], [0.684, 0.684, 0.250], [0.000, 0.349, 0.750], [0.000, 0.651, 0.250], [0.349, 0.000, 0.750], [0.349, 0.349, 0.250], [0.651, 0.000, 0.250], [0.651, 0.651, 0.750]]}

***

# 15
{"formula": "NaSmSn", "functional": "PBE", "state": "relaxed", "vol_a3_per_atom": 33.25, "formation_enthalpy_0k_ev_per_atom": -0.33, "crystal_system": "cubic", "cell": [[0.000, 3.681, 3.681], [3.681, 0.000, 3.681], [3.681, 3.681, 0.000]], "species": ["Na", "Sm", "Sn"], "frac_coords": [[0.000, 0.000, 0.000], [0.500, 0.500, 0.500], [0.250, 0.250, 0.250]]}

***

# 16
{"formula": "NaSmSn", "functional": "PBE", "state": "relaxed", "vol_a3_per_atom": 27.64, "formation_enthalpy_0k_ev_per_atom": -0.32, "crystal_system": "trigonal", "cell": [[5.196, 0.000, 0.000], [-2.598, 4.500, 0.000], [0.000, 0.000, 3.546]], "species": ["Na", "Sm", "Sn"], "frac_coords": [[0.000, 0.000, 0.000], [0.333, 0.667, 0.524], [0.667, 0.333, 0.056]]}

***

# 17
{"formula": "NaSm4Sn4", "functional": "PBE", "state": "relaxed", "vol_a3_per_atom": 35.82, "formation_enthalpy_0k_ev_per_atom": -0.42, "crystal_system": "tetragonal", "cell": [[10.134, 0.000, 0.000], [0.000, 10.134, 0.000], [0.000, 0.000, 6.279]], "species": ["Na", "Na", "Sm", "Sm", "Sm", "Sm", "Sm", "Sm", "Sm", "Sm", "Sn", "Sn", "Sn", "Sn", "Sn", "Sn", "Sn", "Sn"], "frac_coords": [[0.250, 0.250, 0.250], [0.750, 0.750, 0.750], [0.102, 0.641, 0.133], [0.141, 0.898, 0.633], [0.359, 0.602, 0.633], [0.398, 0.859, 0.133], [0.602, 0.141, 0.867], [0.641, 0.398, 0.367], [0.859, 0.102, 0.367], [0.898, 0.359, 0.867], [0.040, 0.604, 0.645], [0.104, 0.960, 0.145], [0.396, 0.540, 0.145], [0.460, 0.896, 0.645], [0.540, 0.104, 0.355], [0.604, 0.460, 0.855], [0.896, 0.040, 0.855], [0.960, 0.396, 0.355]]}

***

# 18
{"formula": "NaSmSn", "functional": "PBE", "state": "relaxed", "vol_a3_per_atom": 34.66, "formation_enthalpy_0k_ev_per_atom": -0.23, "crystal_system": "trigonal", "cell": [[2.585, 1.493, 8.980], [-2.585, 1.493, 8.980], [0.000, -2.985, 8.980]], "species": ["Na", "Na", "Sm", "Sm", "Sn", "Sn"], "frac_coords": [[0.130, 0.130, 0.130], [0.870, 0.870, 0.870], [0.289, 0.289, 0.289], [0.711, 0.711, 0.711], [0.414, 0.414, 0.414], [0.586, 0.586, 0.586]]}

***

# 19
{"formula": "NaSmSn3", "functional": "PBE", "state": "relaxed", "vol_a3_per_atom": 27.86, "formation_enthalpy_0k_ev_per_atom": -0.36, "crystal_system": "orthorhombic", "cell": [[13.951, 0.000, 0.000], [0.000, 6.295, 0.000], [0.000, 0.000, 6.344]], "species": ["Na", "Na", "Na", "Na", "Sm", "Sm", "Sm", "Sm", "Sn", "Sn", "Sn", "Sn", "Sn", "Sn", "Sn", "Sn", "Sn", "Sn", "Sn", "Sn"], "frac_coords": [[0.098, 0.250, 0.000], [0.098, 0.250, 0.500], [0.902, 0.750, 0.000], [0.902, 0.750, 0.500], [0.321, 0.003, 0.250], [0.321, 0.497, 0.750], [0.679, 0.503, 0.250], [0.679, 0.997, 0.750], [0.112, 0.723, 0.750], [0.112, 0.777, 0.250], [0.286, 0.007, 0.750], [0.286, 0.493, 0.250], [0.496, 0.750, 0.000], [0.496, 0.750, 0.500], [0.504, 0.250, 0.000], [0.504, 0.250, 0.500], [0.714, 0.507, 0.750], [0.714, 0.993, 0.250], [0.888, 0.223, 0.750], [0.888, 0.277, 0.250]]}

***

# 20
{"formula": "Na2SmSn9", "functional": "PBE", "state": "relaxed", "vol_a3_per_atom": 26.63, "formation_enthalpy_0k_ev_per_atom": -0.23, "crystal_system": "tetragonal", "cell": [[4.685, 0.000, 0.000], [0.000, 4.685, 0.000], [0.000, 0.000, 14.560]], "species": ["Na", "Na", "Sm", "Sn", "Sn", "Sn", "Sn", "Sn", "Sn", "Sn", "Sn", "Sn"], "frac_coords": [[0.000, 0.000, 0.167], [0.000, 0.000, 0.833], [0.000, 0.000, 0.500], [0.000, 0.500, 0.000], [0.000, 0.500, 0.331], [0.000, 0.500, 0.669], [0.500, 0.000, 0.000], [0.500, 0.000, 0.331], [0.500, 0.000, 0.669], [0.500, 0.500, 0.164], [0.500, 0.500, 0.500], [0.500, 0.500, 0.836]]}